Density functional theory data (PBE-GGA) for crystalline RbTiAl at its relaxed geometry.

abc: 4.528 9.088 5.368
angles: 86.80 90.00 89.94
Atoms (fractional coordinates):
1 Al 0.588 0.593 0.857
2 Al 0.088 0.570 0.118
3 Rb 0.587 0.198 0.991
4 Rb 0.086 0.879 0.518
5 Ti 0.588 0.503 0.400
6 Ti 0.088 0.491 0.597

formation energy = 0.381 eV/atom
polymorph energy (0 for the lowest one) = 0.269 eV/atom
magnetic moment = 0.00 μB per cell


Density functional theory data (PBE-GGA) for crystalline RbTiAl2 at its relaxed geometry.

abc: 5.496 5.496 10.193
angles: 74.36 74.36 90.00
Site moments in Bohr magnetons follow the coordinates.
Atoms (fractional coordinates):
1 Al 0.376 0.125 0.250  0.02
2 Al 0.374 0.625 0.250  0.01
3 Al 0.375 0.624 0.750  0.04
4 Al 0.875 0.626 0.750  0.03
5 Rb 0.000 0.000 0.000  0.02
6 Rb 0.750 0.250 0.500  0.02
7 Ti 0.500 0.500 0.000  1.54
8 Ti 0.250 0.750 0.500  1.54

formation energy = 0.757 eV/atom
polymorph energy (0 for the lowest one) = 0.000 eV/atom
magnetic moment = 4.85 μB per cell


Density functional theory data (PBE-GGA) for crystalline RbTiAl at its relaxed geometry.

abc: 3.996 13.161 3.993
angles: 89.51 90.00 81.34
Atoms (fractional coordinates):
1 Al 0.349 0.612 0.289
2 Al 0.849 0.613 0.789
3 Rb 0.728 0.865 0.281
4 Rb 0.056 0.206 0.801
5 Ti 0.420 0.469 0.793
6 Ti 0.920 0.470 0.293

formation energy = 0.242 eV/atom
polymorph energy (0 for the lowest one) = 0.129 eV/atom
magnetic moment = 0.00 μB per cell


Density functional theory data (PBE-GGA) for crystalline RbTiAl at its relaxed geometry.

abc: 13.609 5.487 4.925
angles: 90.00 90.00 90.00
Site moments in Bohr magnetons follow the coordinates.
Atoms (fractional coordinates):
1 Al 0.000 0.000 0.000  0.01
2 Al 0.500 0.500 0.500  0.01
3 Al 0.500 0.000 0.500  0.01
4 Al 0.000 0.500 0.000  0.01
5 Rb 0.749 0.250 0.748  0.02
6 Rb 0.751 0.750 0.248  0.02
7 Rb 0.251 0.750 0.252  0.02
8 Rb 0.249 0.250 0.752  0.02
9 Ti 0.500 0.250 0.003  1.00
10 Ti 0.000 0.750 0.503  1.00
11 Ti 0.500 0.750 0.997  1.00
12 Ti 0.000 0.250 0.497  1.00

formation energy = 0.422 eV/atom
polymorph energy (0 for the lowest one) = 0.310 eV/atom
magnetic moment = 6.41 μB per cell


Density functional theory data (PBE-GGA) for crystalline RbTiAl at its relaxed geometry.

abc: 6.000 6.000 10.739
angles: 90.00 90.00 120.00
Site moments in Bohr magnetons follow the coordinates.
Atoms (fractional coordinates):
1 Al 0.000 0.000 0.250  0.04
2 Al 0.000 0.000 0.750  0.04
3 Rb 0.333 0.667 0.250  0.01
4 Rb 0.667 0.333 0.750  0.01
5 Ti 0.000 0.000 0.000  1.75
6 Ti 0.000 0.000 0.500  1.85

formation energy = 1.474 eV/atom
polymorph energy (0 for the lowest one) = 1.362 eV/atom
magnetic moment = 5.55 μB per cell


Density functional theory data (PBE-GGA) for crystalline RbTiAl3 at its relaxed geometry.

abc: 5.329 5.329 5.329
angles: 90.00 90.00 90.00
Atoms (fractional coordinates):
1 Al 0.000 0.500 0.000
2 Al 0.000 0.000 0.500
3 Al 0.500 0.000 0.000
4 Rb 0.000 0.000 0.000
5 Ti 0.500 0.500 0.500

formation energy = 2.053 eV/atom
polymorph energy (0 for the lowest one) = 1.537 eV/atom
magnetic moment = 0.00 μB per cell


Density functional theory data (PBE-GGA) for crystalline RbTiAl at its relaxed geometry.

abc: 3.986 13.401 3.994
angles: 81.92 90.00 81.62
Atoms (fractional coordinates):
1 Al 0.846 0.612 0.674
2 Al 0.346 0.612 0.174
3 Rb 0.724 0.862 0.057
4 Rb 0.545 0.209 0.361
5 Ti 0.915 0.470 0.240
6 Ti 0.415 0.469 0.741

formation energy = 0.244 eV/atom
polymorph energy (0 for the lowest one) = 0.131 eV/atom
magnetic moment = 0.00 μB per cell


Density functional theory data (PBE-GGA) for crystalline RbTiAl at its relaxed geometry.

abc: 5.232 5.232 8.459
angles: 90.00 90.00 120.00
Site moments in Bohr magnetons follow the coordinates.
Atoms (fractional coordinates):
1 Al 0.333 0.667 0.333  -0.01
2 Al 0.333 0.667 0.667  -0.01
3 Rb 0.667 0.333 0.000  0.01
4 Rb 0.667 0.333 0.500  0.04
5 Ti 0.000 0.000 0.347  1.55
6 Ti 0.000 0.000 0.653  1.55

formation energy = 0.847 eV/atom
polymorph energy (0 for the lowest one) = 0.734 eV/atom
magnetic moment = 4.02 μB per cell